[1]
Computed, not measured: a relaxed NbGePt crystal at the GGA-PBE level of DFT.

Structure (POSCAR):
```
NbGePt
1.0
-3.581 2.154 2.858
-4.562 -3.607 -2.999
0.760 -4.697 4.492
Ge Nb Pt
4 4 4
Cartesian
-1.701 -5.388 1.929
-2.491 -2.126 2.965
-4.892 -4.024 1.386
-2.101 -2.916 -0.436
-3.277 -5.239 -0.157
-3.462 -4.491 3.530
-3.921 -1.659 0.821
-0.526 -3.064 1.651
-3.613 -2.856 -2.375
-1.189 -2.642 4.986
-1.632 0.099 2.364
-0.950 -0.751 -0.624
```

Crystal system ... tetragonal
Total magnetization ... 0.000 μB/f.u.
Formation energy from the elements ... 0.099 eV/atom
Space group ... P4_2/mmc (131)

[2]
Computed, not measured: a relaxed Ac3AlPd8Pb2 crystal at the GGA-PBE level of DFT.

Structure (POSCAR):
```
Ac3AlPd8Pb2
1.0
5.747 0.000 0.000
-2.873 4.977 0.000
0.000 0.000 10.916
Ac Al Pd Pb
3 1 8 2
Cartesian
0.000 3.318 6.393
2.873 1.659 4.523
0.000 0.000 0.000
0.000 0.000 5.458
0.000 3.318 9.357
2.873 1.659 1.560
-1.468 4.165 3.409
4.341 0.812 7.507
0.000 1.623 3.409
2.873 3.354 7.507
1.468 4.165 3.409
1.406 0.812 7.507
0.000 3.318 1.192
2.873 1.659 9.724
```

Crystal system ... trigonal
Total magnetization ... 0.000 μB/f.u.
Formation energy from the elements ... -0.612 eV/atom
Space group ... P-3m1 (164)

Question: Among the records above, which one has the highest formation energy from the elements?
Answer: NbGePt